A relaxed structure of Sc5CS5. Source: the Alexandria database, functional PBE-GGA.

Properties
* space group: C2/m
* total DFT energy (no corrections): -7.298 eV/atom
* formation energy from raw total energies: -18.76 eV/f.u.

Cell lengths 5.125, 6.291, 7.187 Å; angles 106.95, 90.00, 114.04 degrees
Positions (direct):
Sc1 0.851 0.702 0.158
Sc2 0.848 0.697 0.691
Sc3 0.149 0.298 0.842
Sc4 0.500 0.000 0.000
Sc5 0.152 0.303 0.309
C1 0.000 0.000 0.000
S1 0.333 0.665 0.167
S2 0.675 0.349 0.331
S3 0.667 0.335 0.833
S4 0.000 0.000 0.500
S5 0.325 0.651 0.669